[1]
Here is an optimized crystal structure of SiTcP2 from the Alexandria database. Energies are from GGA-PBEsol.

Output
Spin magnetization ... 0.000 μB per atom
Space-group type ... Amm2 (38)
DOS(E_F) ... 1.64 states/eV/f.u.
Energy relative to the elements, uncorrected ... -0.181 eV per atom
VASP energy ... -58.64 eV/cell

```
SiTcP2
1.0
4.3802 0.0000 0.0000
0.0000 3.7151 0.0000
0.0000 0.0000 7.6277
Si Tc P
2 2 4
Cartesian
0.0000 0.0000 0.0000
0.0000 1.8576 3.8139
2.1901 0.0000 1.3217
2.1901 1.8576 5.1355
0.0000 0.0000 2.4180
0.0000 1.8576 6.2319
2.1901 0.0000 3.8589
2.1901 1.8576 0.0450
```

---

[2]
Here is an optimized crystal structure of SiTcP2 from the Alexandria database. Energies are from GGA-PBEsol.

Output
Spin magnetization ... 0.000 μB per atom
Space-group type ... I-4m2 (119)
DOS(E_F) ... 2.41 states/eV/f.u.
Energy relative to the elements, uncorrected ... 0.240 eV per atom
VASP energy ... -55.27 eV/cell

```
SiTcP2
1.0
3.8378 0.0000 0.0000
0.0000 3.8378 0.0000
0.0000 0.0000 7.0960
Si Tc P
2 2 4
Cartesian
0.0000 0.0000 0.0000
1.9189 1.9189 3.5480
0.0000 1.9189 1.7740
1.9189 0.0000 5.3220
0.0000 0.0000 3.5480
0.0000 1.9189 5.3220
1.9189 0.0000 1.7740
1.9189 1.9189 0.0000
```

---

[3]
Here is an optimized crystal structure of SiTc4P from the Alexandria database. Energies are from GGA-PBEsol.

Output
Spin magnetization ... 0.000 μB per atom
Space-group type ... F-43m (216)
DOS(E_F) ... 4.65 states/eV/f.u.
Energy relative to the elements, uncorrected ... 0.567 eV per atom
VASP energy ... -53.20 eV/cell

```
SiTc4P
1.0
0.0000 3.5460 3.5460
3.5460 0.0000 3.5460
3.5460 3.5460 0.0000
Si Tc P
1 4 1
Cartesian
0.0000 0.0000 0.0000
2.6638 2.6638 2.6638
4.4282 4.4282 2.6638
4.4282 2.6638 4.4282
2.6638 4.4282 4.4282
5.3190 5.3190 5.3190
```